KB2Pt: relaxed, PBE.

Unit cell a=5.456 b=5.456 c=11.531 alpha=90.00 beta=90.00 gamma=90.00
Fractional coordinates of all 16 atoms:
K: 0.000 0.250 0.375
K: 0.000 0.750 0.625
K: 0.500 0.250 0.125
K: 0.500 0.750 0.875
B: 0.000 0.000 0.000
B: 0.000 0.500 0.000
B: 0.250 0.250 0.750
B: 0.250 0.750 0.250
B: 0.500 0.000 0.500
B: 0.500 0.500 0.500
B: 0.750 0.250 0.750
B: 0.750 0.750 0.250
Pt: 0.000 0.250 0.875
Pt: 0.000 0.750 0.125
Pt: 0.500 0.250 0.625
Pt: 0.500 0.750 0.375

Crystal system: tetragonal
Theoretical density: 5.0 g/cm3
Symmetry: I4_1/amd, No. 141
Calculated volume: 21.45 Å³ per atom
E_form: 191 meV/atom
Energy relative to the lowest polymorph listed for this composition: 0.0000 eV/atom

KB2Pt: relaxed, PBE.

Unit cell a=6.048 b=6.048 c=6.048 alpha=90.00 beta=90.00 gamma=90.00
Fractional coordinates of all 16 atoms:
K: 0.000 0.000 0.000
K: 0.000 0.500 0.500
K: 0.500 0.000 0.500
K: 0.500 0.500 0.000
B: 0.250 0.250 0.250
B: 0.250 0.250 0.750
B: 0.250 0.750 0.250
B: 0.250 0.750 0.750
B: 0.750 0.250 0.250
B: 0.750 0.250 0.750
B: 0.750 0.750 0.250
B: 0.750 0.750 0.750
Pt: 0.000 0.000 0.500
Pt: 0.000 0.500 0.000
Pt: 0.500 0.000 0.000
Pt: 0.500 0.500 0.500

Crystal system: cubic
Theoretical density: 7.7 g/cm3
Symmetry: Fm-3m, No. 225
Calculated volume: 13.83 Å³ per atom
E_form: 1439 meV/atom
Energy relative to the lowest polymorph listed for this composition: 1.2485 eV/atom

KB3Pt: relaxed, PBE.

Unit cell a=4.227 b=4.227 c=4.227 alpha=90.00 beta=90.00 gamma=90.00
Fractional coordinates of all 5 atoms:
K: 0.000 0.000 0.000
B: 0.000 0.500 0.500
B: 0.500 0.000 0.500
B: 0.500 0.500 0.000
Pt: 0.500 0.500 0.500

Crystal system: cubic
Theoretical density: 5.9 g/cm3
Symmetry: Pm-3m, No. 221
Calculated volume: 15.10 Å³ per atom
E_form: 1050 meV/atom
Energy relative to the lowest polymorph listed for this composition: 0.0000 eV/atom

K2BPt: relaxed, PBE.

Unit cell a=4.075 b=4.075 c=21.327 alpha=90.00 beta=90.00 gamma=90.00
Fractional coordinates of all 16 atoms:
K: 0.244 0.250 0.125
K: 0.250 0.744 0.375
K: 0.250 0.756 0.875
K: 0.256 0.250 0.625
K: 0.744 0.750 0.625
K: 0.750 0.244 0.875
K: 0.750 0.256 0.375
K: 0.756 0.750 0.125
B: 0.000 0.000 0.000
B: 0.000 0.500 0.250
B: 0.500 0.000 0.750
B: 0.500 0.500 0.500
Pt: 0.000 0.000 0.500
Pt: 0.000 0.500 0.750
Pt: 0.500 0.000 0.250
Pt: 0.500 0.500 0.000

Crystal system: tetragonal
Theoretical density: 5.3 g/cm3
Symmetry: I-42d, No. 122
Calculated volume: 22.13 Å³ per atom
E_form: 1272 meV/atom

KB2Pt3: relaxed, PBE.

Unit cell a=5.669 b=5.669 c=3.141 alpha=90.00 beta=90.00 gamma=120.00
Fractional coordinates of all 6 atoms:
K: 0.000 0.000 0.000
B: 0.333 0.667 0.000
B: 0.667 0.333 0.000
Pt: 0.000 0.500 0.500
Pt: 0.500 0.000 0.500
Pt: 0.500 0.500 0.500

Crystal system: hexagonal
Theoretical density: 12.3 g/cm3
Symmetry: P6/mmm, No. 191
Calculated volume: 14.57 Å³ per atom
E_form: -232 meV/atom
Energy relative to the lowest polymorph listed for this composition: 0.0000 eV/atom

KB2Pt3: relaxed, PBE.

Unit cell a=6.217 b=6.217 c=5.473 alpha=90.00 beta=90.00 gamma=59.99
Fractional coordinates of all 12 atoms:
K: 0.001 0.999 0.750
K: 0.999 0.001 0.250
B: 0.333 0.333 0.000
B: 0.333 0.333 0.500
B: 0.667 0.667 0.000
B: 0.667 0.667 0.500
Pt: 0.000 0.500 0.250
Pt: 0.000 0.500 0.750
Pt: 0.499 0.501 0.250
Pt: 0.500 0.000 0.250
Pt: 0.500 0.000 0.750
Pt: 0.501 0.499 0.750

Crystal system: orthorhombic
Theoretical density: 11.7 g/cm3
Symmetry: Cmcm, No. 63
Calculated volume: 15.27 Å³ per atom
E_form: -185 meV/atom
Energy relative to the lowest polymorph listed for this composition: 0.0468 eV/atom

KB4Pt4: relaxed, PBE.

Unit cell a=6.314 b=6.314 c=6.314 alpha=94.25 beta=94.25 gamma=148.42
Fractional coordinates of all 9 atoms:
K: 0.000 0.000 0.000
B: 0.227 0.319 0.546
B: 0.319 0.773 0.092
B: 0.681 0.227 0.908
B: 0.773 0.681 0.454
Pt: 0.169 0.580 0.749
Pt: 0.420 0.169 0.588
Pt: 0.580 0.831 0.412
Pt: 0.831 0.420 0.251

Crystal system: tetragonal
Theoretical density: 11.3 g/cm3
Symmetry: I4/m, No. 87
Calculated volume: 14.09 Å³ per atom
E_form: -211 meV/atom

K2B2Pt: relaxed, PBE.

Unit cell a=2.845 b=2.845 c=21.231 alpha=90.00 beta=90.00 gamma=90.00
Fractional coordinates of all 10 atoms:
K: 0.000 0.000 0.119
K: 0.000 0.000 0.881
K: 0.500 0.500 0.381
K: 0.500 0.500 0.619
B: 0.000 0.500 0.250
B: 0.000 0.500 0.750
B: 0.500 0.000 0.250
B: 0.500 0.000 0.750
Pt: 0.000 0.000 0.500
Pt: 0.500 0.500 0.000

Crystal system: tetragonal
Theoretical density: 5.7 g/cm3
Symmetry: I4/mmm, No. 139
Calculated volume: 17.18 Å³ per atom
E_form: 878 meV/atom
Energy relative to the lowest polymorph listed for this composition: 0.0000 eV/atom

K2B2Pt: relaxed, PBE.

Unit cell a=9.315 b=9.315 c=2.617 alpha=90.00 beta=90.00 gamma=90.00
Fractional coordinates of all 10 atoms:
K: 0.223 0.277 0.000
K: 0.277 0.777 0.000
K: 0.723 0.223 0.000
K: 0.777 0.723 0.000
B: 0.061 0.561 0.500
B: 0.439 0.061 0.500
B: 0.561 0.939 0.500
B: 0.939 0.439 0.500
Pt: 0.000 0.000 0.000
Pt: 0.500 0.500 0.000

Crystal system: tetragonal
Theoretical density: 4.3 g/cm3
Symmetry: P4/mbm, No. 127
Calculated volume: 22.71 Å³ per atom
E_form: 1169 meV/atom
Energy relative to the lowest polymorph listed for this composition: 0.2915 eV/atom

KB3Pt: relaxed, PBE.

Unit cell a=4.427 b=4.427 c=4.427 alpha=90.00 beta=90.00 gamma=90.00
Fractional coordinates of all 5 atoms:
K: 0.000 0.000 0.000
B: 0.000 0.000 0.500
B: 0.000 0.500 0.000
B: 0.500 0.000 0.000
Pt: 0.500 0.500 0.500

Crystal system: cubic
Theoretical density: 5.1 g/cm3
Symmetry: Pm-3m, No. 221
Calculated volume: 17.36 Å³ per atom
E_form: 3516 meV/atom
Energy relative to the lowest polymorph listed for this composition: 2.4657 eV/atom

K3B2Pt4: relaxed, PBE.

Unit cell a=6.297 b=6.297 c=10.520 alpha=105.31 beta=105.31 gamma=28.44
Fractional coordinates of all 9 atoms:
K: 0.000 0.000 0.000
K: 0.353 0.353 0.651
K: 0.647 0.647 0.349
B: 0.356 0.356 0.251
B: 0.644 0.644 0.749
Pt: 0.077 0.077 0.618
Pt: 0.209 0.209 0.880
Pt: 0.791 0.791 0.120
Pt: 0.923 0.923 0.382

Crystal system: monoclinic
Theoretical density: 8.0 g/cm3
Symmetry: C2/m, No. 12
Calculated volume: 21.24 Å³ per atom
E_form: -284 meV/atom

KB3Pt6: relaxed, PBE.

Unit cell a=5.579 b=5.689 c=5.691 alpha=119.27 beta=100.05 gamma=99.78
Fractional coordinates of all 10 atoms:
K: 0.000 0.000 0.000
B: 0.455 0.811 0.809
B: 0.780 0.254 0.593
B: 0.780 0.593 0.252
Pt: 0.052 0.015 0.512
Pt: 0.053 0.512 0.015
Pt: 0.084 0.529 0.529
Pt: 0.534 0.211 0.839
Pt: 0.534 0.841 0.210
Pt: 0.557 0.478 0.476

Crystal system: triclinic
Theoretical density: 13.9 g/cm3
Symmetry: P1, No. 1
Calculated volume: 14.81 Å³ per atom
E_form: -134 meV/atom

KB2RuPt: relaxed, PBE.

Unit cell a=4.409 b=4.409 c=4.477 alpha=90.00 beta=90.00 gamma=90.00
Fractional coordinates of all 5 atoms:
K: 0.000 0.000 0.000
B: 0.000 0.500 0.000
B: 0.500 0.000 0.000
Ru: 0.000 0.000 0.500
Pt: 0.500 0.500 0.500

Crystal system: tetragonal
Theoretical density: 6.8 g/cm3
Symmetry: P4/mmm, No. 123
Calculated volume: 17.40 Å³ per atom
E_form: 3331 meV/atom